DFT (PBE) results for an optimized crystal structure of SrAc2LaRu.

abc: 5.634 5.953 5.953
angles: 90.00 90.00 90.00
Sites, in units of the cell vectors:
Ac 0.000 0.500 0.000
Ac 0.000 0.000 0.500
La 0.500 0.000 0.000
Ru 0.000 0.000 0.000
Sr 0.500 0.500 0.500

Properties
Size of the total moment: 0.00 μB per formula unit
Crystal system: tetragonal
Formation enthalpy at 0 K: -0.683 eV/f.u.
DOS(E_F): 3.75 states/eV/cell
Electronic total energy: -0.3643 Ry/atom